Ta2CdAs after structural relaxation, computed with PBE-GGA.

a b c (Å): 3.980 3.980 20.006
angles (deg): 90.00 90.00 90.00
Space group I-42d (No. 122)
Inequivalent atoms, fractional coordinates:
Ta  0.243  0.250  0.125
Cd  0.000  0.000  0.500
As  0.000  0.000  0.000

## Properties
**Volume**: 19.81 A^3/atom
**Relative energy among the computed polymorphs**: 0.486 eV per atom
**E_form**: 0.5184 eV/atom